First-principles (PBE with a Hubbard U) data for a geometry-optimized ZnCr3F structure, as listed in the Alexandria database.

abc: 4.5133 4.5133 4.5133
angles: 90.00 90.00 90.00
Space group Pm-3m (No. 221)
Symmetry-distinct sites (fractional):
Zn (0.0000, 0.0000, 0.0000)
Cr (0.0000, 0.5000, 0.5000)
F (0.5000, 0.5000, 0.5000)

## Properties
As for the density of states at the Fermi level: 3.70 states/eV per cell. The offset from the most stable computed form comes out at 0.000 eV per atom. For the energy, the calculation gives -5.08 eV/atom. The spin magnetization comes out at 13.91 Bohr magnetons per cell.